GaCoSeBr2 | PBE | relaxed

a = 5.100 Å, b = 5.100 Å, c = 5.131 Å
α = 90.00°, β = 90.00°, γ = 90.00°
Each line ends with the local moment (μB).
Sites, in units of the cell vectors:
Ga 0.000 0.000 0.000  0.01
Se 0.000 0.000 0.500  0.04
Br 0.000 0.500 0.000  0.03
Br 0.500 0.000 0.000  0.03
Co 0.500 0.500 0.500  2.26

Output
- Distance to the lowest polymorph of the same formula: 522 meV/atom
- Total energy: -2.91 eV per atom
- ΔE_f (raw): 479 meV per atom
- SG: P4/mmm (123)